Entry 1:
PBE-GGA AuBr2Cl, optimized geometry; distance to the lowest polymorph of the same formula = 0.58 eV/f.u.; ΔE_f (raw) = -0.0299 eV/atom; total magnetic moment = 0.00 μB/atom; density of states at the Fermi level = 0.09 states/eV/atom; E = -2.15 eV per atom; crystal system = monoclinic
1.0
6.152 0.012 -0.015
5.037 3.531 -0.015
5.042 1.597 5.917
Au Br Cl
1 2 1
Direct
0.743 0.743 0.758
0.043 0.043 0.957
0.289 0.289 0.208
0.425 0.425 0.576



Entry 2:
PBE-GGA KBaRe2, optimized geometry; distance to the lowest polymorph of the same formula = 3.55 eV/f.u.; total magnetic moment = 0.00 μB/atom; density of states at the Fermi level = 0.80 states/eV/atom; E = -5.44 eV per atom; crystal system = orthorhombic
1.0
6.395 0.003 0.070
3.967 5.016 -0.070
-5.028 -2.826 2.764
Ba K Re
1 1 2
Direct
0.750 0.250 0.500
0.250 0.750 0.500
0.500 0.500 0.000
0.000 0.000 0.000



Entry 3:
PBE-GGA La6FeAu2I3, optimized geometry; ΔE_f (raw) = -0.8253 eV/atom; total magnetic moment = 0.00 μB/atom; density of states at the Fermi level = 0.77 states/eV/atom; E = -4.93 eV per atom; crystal system = monoclinic
1.0
-0.502 -6.941 -2.900
3.177 5.529 -4.022
6.390 -1.390 5.500
Fe I La Au
1 3 6 2
Direct
0.000 0.000 0.000
0.500 0.500 0.500
0.167 0.833 0.500
0.833 0.167 0.500
0.636 0.937 0.810
0.063 0.364 0.190
0.239 0.239 0.808
0.937 0.636 0.810
0.364 0.063 0.190
0.761 0.761 0.192
0.333 0.667 0.000
0.667 0.333 0.000



Entry 4:
PBE-GGA Ca4WSe, optimized geometry; ΔE_f (raw) = 0.8894 eV/atom; total magnetic moment = 0.43 μB/atom; density of states at the Fermi level = 0.73 states/eV/atom; E = -3.18 eV per atom; crystal system = cubic
1.0
0.000 4.486 4.486
4.486 0.000 4.486
4.486 4.486 0.000
Ca W Se
4 1 1
Direct
0.374 0.879 0.374
0.374 0.374 0.374
0.879 0.374 0.374
0.374 0.374 0.879
0.000 0.000 0.000
0.750 0.750 0.750



Entry 5:
PBE-GGA CuPb2, optimized geometry; total magnetic moment = 0.00 μB/atom; density of states at the Fermi level = 0.41 states/eV/atom; E = -3.65 eV per atom; crystal system = monoclinic
1.0
-1.341 -1.039 -5.168
2.073 -1.445 -4.817
-1.259 -8.079 2.907
Pb Cu
4 2
Direct
0.620 0.620 0.748
0.573 0.573 0.294
0.866 0.866 0.533
0.374 0.374 0.964
0.110 0.110 0.028
0.290 0.290 0.266



Entry 6:
PBE-GGA TlSb2Ir, optimized geometry; distance to the lowest polymorph of the same formula = 1.38 eV/f.u.; ΔE_f (raw) = 0.2511 eV/atom; total magnetic moment = 0.00 μB/atom; density of states at the Fermi level = 0.83 states/eV/atom; E = -4.62 eV per atom; crystal system = tetragonal
1.0
-1.181 -0.572 3.388
-3.197 -1.114 -1.303
2.679 -7.333 -0.305
Ir Tl Sb
1 1 2
Direct
0.500 0.500 0.838
0.000 0.000 0.525
0.000 0.000 0.939
0.500 0.500 0.198



Entry 7:
PBE-GGA Nd2TlSi, optimized geometry; ΔE_f (raw) = -0.4067 eV/atom; total magnetic moment = 0.00 μB/atom; density of states at the Fermi level = 1.04 states/eV/atom; E = -4.74 eV per atom; crystal system = trigonal
1.0
-3.472 -1.397 -2.051
-2.603 -2.810 1.881
-6.192 4.493 2.982
Nd Tl Si
2 1 1
Direct
0.735 0.735 0.794
0.265 0.265 0.206
0.500 0.500 0.500
0.000 0.000 0.000



Entry 8:
PBE-GGA LaNb2GaH, optimized geometry; total magnetic moment = 0.00 μB/atom; density of states at the Fermi level = 0.94 states/eV/atom; E = -6.13 eV per atom; crystal system = tetragonal
1.0
4.245 0.000 0.000
0.000 4.968 0.000
0.000 0.000 4.245
La Ga Nb H
1 1 2 1
Direct
0.500 0.500 0.500
0.000 0.500 0.000
0.500 0.000 0.000
0.000 0.000 0.500
0.000 0.000 0.000



Entry 9:
PBE-GGA GdEr2Ru, optimized geometry; total magnetic moment = 1.88 μB/atom; density of states at the Fermi level = 1.63 states/eV/atom; E = -8.07 eV per atom; crystal system = cubic
1.0
-3.539 -1.161 3.490
1.336 -0.591 4.891
-1.403 3.476 3.466
Er Ru Gd
2 1 1
Direct
0.250 0.250 0.250
0.750 0.750 0.750
0.000 0.000 0.000
0.500 0.500 0.500



Entry 10:
PBE-GGA CuSbS3, optimized geometry; distance to the lowest polymorph of the same formula = 0.00 eV/f.u.; ΔE_f (raw) = -0.1588 eV/atom; total magnetic moment = 0.00 μB/atom; density of states at the Fermi level = 0.07 states/eV/atom; E = -4.28 eV per atom; crystal system = trigonal
1.0
-5.810 2.517 0.320
-3.326 -0.377 5.384
-0.385 6.593 3.956
S Cu Sb
6 2 2
Direct
0.426 0.074 0.774
0.274 0.574 0.226
0.926 0.274 0.226
0.074 0.726 0.774
0.726 0.426 0.774
0.574 0.926 0.226
0.068 0.068 0.797
0.932 0.932 0.203
0.666 0.666 0.001
0.334 0.334 0.999



Entry 11:
PBE-GGA Ac2SmI8, optimized geometry; ΔE_f (raw) = -1.2854 eV/atom; total magnetic moment = 0.09 μB/atom; E = -3.59 eV per atom; crystal system = monoclinic
1.0
6.784 0.040 0.033
0.090 10.103 0.691
0.090 2.526 9.807
I Ac Sm
8 2 1
Direct
0.780 0.176 0.176
0.751 0.610 0.610
0.247 0.875 0.273
0.753 0.727 0.125
0.249 0.390 0.390
0.247 0.273 0.875
0.220 0.824 0.824
0.753 0.125 0.727
0.714 0.797 0.797
0.286 0.203 0.203
0.000 0.000 0.000



Entry 12:
PBE-GGA BeAs2Se, optimized geometry; distance to the lowest polymorph of the same formula = 3.59 eV/f.u.; ΔE_f (raw) = 0.6067 eV/atom; total magnetic moment = 0.00 μB/atom; density of states at the Fermi level = 0.38 states/eV/atom; E = -3.52 eV per atom; crystal system = tetragonal
1.0
4.642 0.000 0.000
0.000 4.642 0.000
0.000 0.000 3.231
Se As Be
1 2 1
Direct
0.000 0.500 0.500
0.500 0.500 0.000
0.000 0.000 0.000
0.500 0.000 0.500



Entry 13:
PBE-GGA PmSiGe2, optimized geometry; distance to the lowest polymorph of the same formula = 0.32 eV/f.u.; ΔE_f (raw) = -0.2266 eV/atom; total magnetic moment = 0.00 μB/atom; density of states at the Fermi level = 0.32 states/eV/atom; E = -5.08 eV per atom; crystal system = tetragonal
1.0
-1.420 -2.272 2.457
1.463 -2.822 -1.764
5.098 0.508 3.416
Ge Pm Si
2 1 1
Direct
0.000 0.000 0.297
0.000 0.000 0.703
0.500 0.500 0.000
0.500 0.500 0.500



Entry 14:
PBE-GGA AcPm6Er6, optimized geometry; total magnetic moment = 0.00 μB/atom; density of states at the Fermi level = 2.15 states/eV/atom; E = -4.38 eV per atom; crystal system = hexagonal
1.0
6.747 0.000 0.000
-3.373 5.844 0.000
0.000 0.000 11.464
Pm Er Ac
6 6 1
Direct
0.667 0.333 0.000
0.000 0.000 0.351
0.000 0.000 0.649
0.333 0.667 0.500
0.333 0.667 0.000
0.667 0.333 0.500
0.000 0.500 0.248
0.500 0.500 0.752
0.000 0.500 0.752
0.500 0.000 0.248
0.500 0.000 0.752
0.500 0.500 0.248
0.000 0.000 0.000



Entry 15:
PBE-GGA NbSb2TeC, optimized geometry; distance to the lowest polymorph of the same formula = 0.00 eV/f.u.; ΔE_f (raw) = 1.0844 eV/atom; total magnetic moment = 0.00 μB/atom; density of states at the Fermi level = 0.93 states/eV/atom; E = -5.05 eV per atom; crystal system = tetragonal
1.0
-2.124 4.033 -1.146
-2.713 -0.343 3.822
3.141 2.347 2.440
Te C Sb Nb
1 1 2 1
Direct
0.000 0.000 0.500
0.000 0.000 0.000
0.500 0.000 0.000
0.000 0.500 0.000
0.500 0.500 0.500



Entry 16:
PBE-GGA CsIn3Os, optimized geometry; distance to the lowest polymorph of the same formula = 11.67 eV/f.u.; total magnetic moment = 0.46 μB/atom; density of states at the Fermi level = 2.36 states/eV/atom; E = -1.73 eV per atom; crystal system = cubic
1.0
6.278 0.000 0.000
0.000 6.278 0.000
0.000 0.000 6.278
In Cs Os
3 1 1
Direct
0.500 0.000 0.000
0.000 0.500 0.000
0.000 0.000 0.500
0.000 0.000 0.000
0.500 0.500 0.500



Entry 17:
PBE-GGA LiTa2W, optimized geometry; distance to the lowest polymorph of the same formula = 0.00 eV/f.u.; total magnetic moment = 0.00 μB/atom; density of states at the Fermi level = 0.81 states/eV/atom; E = -9.45 eV per atom; crystal system = orthorhombic
1.0
-1.964 -1.954 0.056
2.111 -0.771 1.621
-4.210 4.448 7.600
Ta W Li
2 1 1
Direct
0.000 0.000 0.014
0.000 0.000 0.486
0.500 0.500 0.250
0.500 0.500 0.750



Entry 18:
PBE-GGA GaNi2I, optimized geometry; distance to the lowest polymorph of the same formula = 0.00 eV/f.u.; ΔE_f (raw) = 0.2803 eV/atom; total magnetic moment = 0.00 μB/atom; density of states at the Fermi level = 0.32 states/eV/atom; E = -3.75 eV per atom; crystal system = tetragonal
1.0
-4.250 -0.436 1.671
-0.554 -3.860 -2.416
0.220 -6.058 5.273
Ni I Ga
4 2 2
Direct
0.577 0.125 0.250
0.875 0.827 0.750
0.375 0.423 0.750
0.173 0.625 0.250
0.000 0.000 0.000
0.750 0.250 0.500
0.500 0.500 0.000
0.250 0.750 0.500



Entry 19:
PBE-GGA Si5As, optimized geometry; distance to the lowest polymorph of the same formula = 1.89 eV/f.u.; ΔE_f (raw) = 0.6398 eV/atom; total magnetic moment = 0.00 μB/atom; density of states at the Fermi level = 0.67 states/eV/atom; E = -4.65 eV per atom; crystal system = cubic
1.0
-0.418 -4.456 2.504
-3.927 -0.782 3.205
-3.714 -3.307 -1.254
Si As
5 1
Direct
0.625 0.625 0.625
0.625 0.125 0.625
0.250 0.250 0.250
0.125 0.625 0.625
0.625 0.625 0.125
0.000 0.000 0.000



Entry 20:
PBE-GGA KRb2HfF6, optimized geometry; ΔE_f (raw) = -3.0376 eV/atom; total magnetic moment = 0.04 μB/atom; density of states at the Fermi level = 0.15 states/eV/atom; E = -5.46 eV per atom; crystal system = trigonal
1.0
7.023 0.000 0.000
3.512 6.082 0.000
3.512 2.027 10.568
F Rb Hf K
12 4 2 2
Direct
0.780 0.170 0.881
0.830 0.830 0.119
0.381 0.381 0.404
0.167 0.619 0.596
0.619 0.167 0.596
0.170 0.170 0.881
0.833 0.381 0.404
0.619 0.619 0.596
0.170 0.780 0.881
0.381 0.833 0.404
0.830 0.220 0.119
0.220 0.830 0.119
0.745 0.745 0.766
0.255 0.255 0.234
0.129 0.129 0.613
0.871 0.871 0.387
0.500 0.500 0.500
0.000 0.000 0.000
0.391 0.391 0.828
0.609 0.609 0.172



Entry 21:
PBE-GGA PrHoGaPd, optimized geometry; distance to the lowest polymorph of the same formula = 0.21 eV/f.u.; total magnetic moment = 0.00 μB/atom; density of states at the Fermi level = 0.90 states/eV/atom; E = -5.03 eV per atom; crystal system = cubic
1.0
5.121 0.000 0.000
2.561 4.435 0.000
2.561 1.478 4.182
Ho Pd Ga Pr
1 1 1 1
Direct
0.000 0.000 0.000
0.750 0.750 0.750
0.250 0.250 0.250
0.500 0.500 0.500



Entry 22:
PBE-GGA BiTe3N, optimized geometry; distance to the lowest polymorph of the same formula = 0.00 eV/f.u.; ΔE_f (raw) = 0.6042 eV/atom; total magnetic moment = 0.00 μB/atom; density of states at the Fermi level = 0.58 states/eV/atom; E = -3.72 eV per atom; crystal system = cubic
1.0
-0.246 4.317 -2.323
-1.873 -2.232 -3.950
-4.530 0.688 1.759
Te Bi N
3 1 1
Direct
0.000 0.000 0.500
0.000 0.500 0.000
0.500 0.000 0.000
0.500 0.500 0.500
0.000 0.000 0.000



Entry 23:
PBE-GGA PuNp2CuS5, optimized geometry; ΔE_f (raw) = -1.2381 eV/atom; total magnetic moment = 0.57 μB/atom; density of states at the Fermi level = 2.69 states/eV/atom; E = -8.45 eV per atom; crystal system = orthorhombic
1.0
3.797 0.000 0.000
-1.899 8.148 0.000
0.000 0.000 11.736
Pu Np Cu S
2 4 2 10
Direct
0.183 0.366 0.027
0.817 0.634 0.527
0.120 0.239 0.692
0.880 0.761 0.192
0.889 0.779 0.848
0.111 0.221 0.348
0.549 0.097 0.921
0.451 0.903 0.421
0.013 0.026 0.017
0.316 0.633 0.357
0.987 0.974 0.517
0.494 0.988 0.747
0.697 0.395 0.194
0.348 0.696 0.021
0.684 0.367 0.857
0.652 0.304 0.521
0.506 0.012 0.247
0.303 0.605 0.694



Entry 24:
PBE-GGA Fe2PdCl, optimized geometry; distance to the lowest polymorph of the same formula = 0.02 eV/f.u.; ΔE_f (raw) = 0.5054 eV/atom; total magnetic moment = 1.56 μB/atom; density of states at the Fermi level = 1.48 states/eV/atom; E = -5.49 eV per atom; crystal system = tetragonal
1.0
-1.420 4.649 4.652
-6.230 0.572 -2.474
-4.679 0.652 2.785
Cl Pd Fe
2 2 4
Direct
0.500 0.500 0.000
0.250 0.750 0.500
0.000 0.000 0.000
0.750 0.250 0.500
0.599 0.125 0.250
0.151 0.625 0.250
0.375 0.401 0.750
0.875 0.849 0.750